Model P:
3
Lattice="5.248 0.000 0.000 -2.624 4.545 0.000 0.000 0.000 3.133" Properties=species:S:1:pos:R:3 comment="CeNdAl | Alexandria | GGA-PBE | optimized geometry" magmom_total_mub_per_fu=0.16 pbc="T T T"
Ce 0.000 0.000 0.000
Nd 0.000 3.030 0.004
Al 2.624 1.515 1.566

Model Q:
3
Lattice="-2.006 2.006 4.995 2.006 -2.006 4.995 2.006 2.006 -4.995" Properties=species:S:1:pos:R:3 comment="CeNdAl | Alexandria | GGA-PBE | optimized geometry" magmom_total_mub_per_fu=0.54 pbc="T T T"
Ce 0.000 0.000 0.000
Nd 0.000 0.000 6.918
Al 0.000 0.000 3.475

Model R:
6
Lattice="3.348 0.000 0.000 0.000 4.459 0.000 -1.678 0.000 10.570" Properties=species:S:1:pos:R:3 comment="CeNdAl | Alexandria | GGA-PBE | optimized geometry" magmom_total_mub_per_fu=0.02 pbc="T T T"
Ce -0.002 1.115 0.859
Ce 1.672 3.344 9.711
Nd -0.002 1.115 4.061
Nd 1.673 3.344 6.509
Al -0.002 1.115 8.197
Al 1.672 3.344 2.373

Model S:
6
Lattice="3.431 0.000 0.000 0.000 5.270 0.000 -1.606 -0.005 8.599" Properties=species:S:1:pos:R:3 comment="CeNdAl | Alexandria | GGA-PBE | optimized geometry" magmom_total_mub_per_fu=0.00 pbc="T T T"
Ce 0.755 1.311 0.229
Ce 1.070 3.954 8.370
Nd -0.764 3.950 5.366
Nd 2.589 1.315 3.233
Al 0.913 3.949 2.416
Al 0.912 1.316 6.183

Stability ranking, top and bottom: model S is the most stable and model P is the least stable.

Model P:
12
Lattice="5.657 0.000 0.000 -2.829 4.899 0.000 0.000 0.000 9.086" Properties=species:S:1:pos:R:3 comment="Ce3NdAl8 | Alexandria | GGA-PBE | optimized geometry" magmom_total_mub_per_fu=1.19 pbc="T T T"
Ce 0.000 0.000 0.000
Ce 0.000 0.000 2.936
Ce 0.000 3.266 7.681
Nd 0.000 3.266 4.401
Al -1.372 2.474 1.469
Al 1.371 0.792 6.034
Al 1.372 2.474 1.469
Al 0.000 4.850 1.469
Al 2.829 1.633 3.725
Al 2.829 1.633 8.292
Al 4.286 0.792 6.034
Al 2.829 3.316 6.034

Model Q:
12
Lattice="2.821 1.629 9.189 -2.821 1.629 9.189 0.000 -3.258 9.189" Properties=species:S:1:pos:R:3 comment="Ce3NdAl8 | Alexandria | GGA-PBE | optimized geometry" magmom_total_mub_per_fu=2.59 pbc="T T T"
Ce 0.000 0.000 0.000
Ce 0.000 0.000 3.373
Ce 0.000 0.000 17.263
Nd 0.000 0.000 13.767
Al -1.414 -0.816 10.899
Al 0.000 -1.626 6.309
Al -1.408 0.813 6.309
Al 0.000 0.000 8.596
Al 1.414 -0.816 10.899
Al 1.408 0.813 6.309
Al 0.000 1.632 10.899
Al 0.000 0.000 22.383

Stability ranking, top and bottom: model Q is the most stable and model P is the least stable.

Model P:
28
Lattice="16.814 0.000 0.000 0.000 4.058 0.000 0.000 0.000 6.843" Properties=species:S:1:pos:R:3 comment="CeAl4Ni2 | Alexandria | GGA-PBE | optimized geometry" magmom_total_mub_per_fu=0.38 pbc="T T T"
Ce 2.016 1.014 0.138
Ce 6.391 3.043 3.560
Ce 10.423 1.014 3.283
Ce 14.798 3.043 6.705
Al 0.615 3.043 4.998
Al 1.628 1.014 3.472
Al 3.195 3.043 2.346
Al 3.389 3.043 4.986
Al 5.018 1.014 1.565
Al 5.212 1.014 5.768
Al 6.779 3.043 0.051
Al 7.792 1.014 1.577
Al 9.022 3.043 5.266
Al 10.035 1.014 6.792
Al 11.601 3.043 1.075
Al 11.796 3.043 5.278
Al 13.424 1.014 1.857
Al 13.619 1.014 4.497
Al 15.186 3.043 3.371
Al 16.199 1.014 1.845
Ni 0.626 3.043 2.324
Ni 3.979 1.014 3.702
Ni 4.428 3.043 0.280
Ni 7.781 1.014 5.746
Ni 9.033 3.043 1.097
Ni 12.386 1.014 6.563
Ni 12.835 3.043 3.141
Ni 16.187 1.014 4.519

Model Q:
14
Lattice="7.513 0.000 0.000 0.000 7.513 0.000 0.000 0.000 4.053" Properties=species:S:1:pos:R:3 comment="CeAl4Ni2 | Alexandria | GGA-PBE | optimized geometry" magmom_total_mub_per_fu=0.47 pbc="T T T"
Ce 0.000 0.000 0.000
Ce 3.756 3.756 2.027
Al 0.626 2.499 2.027
Al 1.258 4.383 0.000
Al 2.499 0.626 2.027
Al 3.130 6.255 0.000
Al 4.383 1.258 0.000
Al 5.014 6.887 2.027
Al 6.255 3.130 0.000
Al 6.887 5.014 2.027
Ni 1.669 5.844 2.027
Ni 2.088 2.088 0.000
Ni 5.425 5.425 0.000
Ni 5.844 1.669 2.027

Stability ranking, top and bottom: model P is the most stable and model Q is the least stable.